NaFeC2: relaxed, PBE.

The structure in POSCAR format:
```
NaFeC2
1.0
-0.8024 2.1475 2.9062
-1.5946 3.2996 -0.5212
-3.5265 0.5288 0.9928
Fe C Na
1 2 1
Direct
0.5000 0.5000 0.5000 Fe
0.2500 0.2500 0.2500 C
0.7500 0.7500 0.7500 C
0.0000 0.0000 0.0000 Na
```

Computed properties:
offset from the most stable computed form	1.177	eV per atom
crystal system	cubic
space group	Fm-3m (225)